# 1
{"formula": "TaTiC", "functional": "GGA-PBE", "state": "optimized geometry", "energy_ev_per_cell": -30.7, "e_form_ev_per_atom": -0.58, "e_above_lowest_polymorph_mev_per_atom": 0.1, "vol_a3_per_atom": 13.542, "lattice": [[4.932, 0.000, 0.000], [0.000, 3.084, 0.000], [0.000, -1.542, 2.671]], "species": ["C", "Ti", "Ta"], "fractional_positions": [[0.995, 0.000, 0.000], [0.753, 0.667, 0.333], [0.252, 0.333, 0.667]]}

***

# 2
{"formula": "TbGdPdPt", "functional": "GGA-PBE", "state": "optimized geometry", "energy_ev_per_cell": -34.0, "e_form_ev_per_atom": -1.03, "vol_a3_per_atom": 21.906, "lattice": [[-2.052, -0.747, 4.482], [1.881, -3.460, 3.058], [2.443, 1.379, 4.122]], "species": ["Gd", "Tb", "Pd", "Pt"], "fractional_positions": [[0.500, 0.500, 0.500], [0.000, 0.000, 0.000], [0.250, 0.250, 0.250], [0.750, 0.750, 0.750]]}

***

# 3
{"formula": "Cs3Ce2BiTe6", "functional": "GGA-PBE", "state": "optimized geometry", "energy_ev_per_cell": -50.3, "raw_formation_energy_ev_per_atom": -1.093, "vol_a3_per_atom": 42.921, "lattice": [[8.176, 0.000, 0.000], [-4.086, 7.082, 0.000], [-1.364, -2.362, 8.896]], "species": ["Cs", "Cs", "Cs", "Ce", "Ce", "Bi", "Te", "Te", "Te", "Te", "Te", "Te"], "fractional_positions": [[0.167, 0.833, 0.500], [0.833, 0.167, 0.500], [0.500, 0.500, 0.500], [0.333, 0.667, 0.000], [0.667, 0.333, 0.000], [0.000, 0.000, 0.000], [0.936, 0.604, 0.807], [0.733, 0.733, 0.193], [0.064, 0.396, 0.193], [0.604, 0.936, 0.807], [0.267, 0.267, 0.807], [0.396, 0.064, 0.193]]}

***

# 4
{"formula": "Mg4PN", "functional": "GGA-PBE", "state": "optimized geometry", "energy_ev_per_cell": -21.0, "raw_formation_energy_ev_per_atom": -0.150, "vol_a3_per_atom": 17.139, "lattice": [[-3.322, 2.145, 1.064], [-2.194, -3.456, 0.115], [1.435, -0.713, 5.919]], "species": ["Mg", "Mg", "Mg", "Mg", "P", "N"], "fractional_positions": [[0.500, 0.000, 0.719], [0.000, 0.500, 0.719], [0.500, 0.000, 0.281], [0.000, 0.500, 0.281], [0.000, 0.000, 0.000], [0.500, 0.500, 0.500]]}

***

# 5
{"formula": "ThMg4Sc", "functional": "GGA-PBE", "state": "optimized geometry", "energy_ev_per_cell": -19.9, "e_form_ev_per_atom": 0.03, "vol_a3_per_atom": 24.753, "lattice": [[-3.931, 3.799, -2.334], [-4.823, 1.566, 3.102], [-0.469, 5.508, 2.186]], "species": ["Sc", "Mg", "Mg", "Mg", "Mg", "Th"], "fractional_positions": [[0.000, 0.000, 0.000], [0.626, 0.626, 0.123], [0.626, 0.123, 0.626], [0.626, 0.626, 0.626], [0.123, 0.626, 0.626], [0.250, 0.250, 0.250]]}

***

# 6
{"formula": "Be2PF", "functional": "GGA-PBE", "state": "optimized geometry", "energy_ev_per_cell": -39.6, "e_above_lowest_polymorph_mev_per_atom": 42.0, "raw_formation_energy_ev_per_atom": -1.267, "vol_a3_per_atom": 12.162, "lattice": [[-3.592, 1.830, -2.869], [0.239, -2.824, -2.101], [-2.274, -3.414, 4.330]], "species": ["P", "P", "Be", "Be", "Be", "Be", "F", "F"], "fractional_positions": [[0.168, 0.000, 0.759], [0.504, 0.500, 0.351], [0.250, 0.000, 0.152], [0.881, 0.500, 0.691], [0.397, 0.500, 0.680], [0.793, 0.000, 0.383], [0.713, 0.500, 0.870], [0.968, 0.000, 0.214]]}

***

# 7
{"formula": "ScV3Zn", "functional": "GGA-PBE", "state": "optimized geometry", "energy_ev_per_cell": -26.9, "e_form_ev_per_atom": 1.61, "e_above_lowest_polymorph_mev_per_atom": 528.3, "vol_a3_per_atom": 18.131, "lattice": [[-1.267, -1.360, -4.090], [-4.059, -1.057, 1.609], [-1.450, 4.149, -0.931]], "species": ["Sc", "Zn", "V", "V", "V"], "fractional_positions": [[0.000, 0.000, 0.000], [0.500, 0.500, 0.500], [0.000, 0.500, 0.000], [0.000, 0.000, 0.500], [0.500, 0.000, 0.000]]}

***

# 8
{"formula": "Nd7Ag2Pd2", "functional": "GGA-PBE", "state": "optimized geometry", "energy_ev_per_cell": -51.6, "e_form_ev_per_atom": -0.20, "vol_a3_per_atom": 30.658, "lattice": [[-1.315, -6.452, -2.213], [6.650, -2.186, 2.424], [-2.171, 0.674, 6.564]], "species": ["Nd", "Nd", "Nd", "Nd", "Nd", "Nd", "Nd", "Ag", "Ag", "Pd", "Pd"], "fractional_positions": [[0.000, 0.265, 0.500], [0.500, 0.735, 0.000], [0.000, 0.735, 0.500], [0.500, 0.265, 0.000], [0.000, 0.000, 0.000], [0.500, 0.744, 0.500], [0.500, 0.256, 0.500], [0.826, 0.500, 0.826], [0.174, 0.500, 0.174], [0.709, 0.000, 0.291], [0.291, 0.000, 0.709]]}